30
Lattice="-2.231 2.996 -3.220 -4.768 -0.651 -1.078 -3.391 8.250 10.026" Properties=species:S:1:pos:R:3 comment="GGA+U Al4V2O9, relaxed" energy_ry_per_atom=-0.5609 total_magnetization_mub_per_cell=8.000 pbc="T T T"
O -4.069 5.980 7.174
O -8.598 8.080 6.946
O -5.394 6.123 0.659
O -4.023 1.316 -0.986
O -2.009 0.523 0.348
O -8.381 10.072 5.380
O -2.884 5.828 4.668
O -6.500 6.704 5.756
O -1.562 3.021 1.477
O -4.997 4.472 5.069
O -8.829 7.574 4.252
O -5.360 4.165 2.282
O -5.031 6.429 3.446
O -1.793 2.514 -1.217
O -3.891 3.890 -0.027
O -6.367 9.279 6.715
O -7.507 4.766 1.061
O -6.321 4.615 -1.446
Al -4.653 6.425 5.426
Al -7.434 8.295 5.315
Al -2.957 2.300 0.414
Al -5.738 4.169 0.302
Al -5.664 8.883 8.413
Al -4.727 1.711 -2.685
Al -6.423 5.836 2.328
Al -3.968 4.758 3.400
V -6.958 4.677 5.396
V -2.725 4.197 -1.759
V -3.433 5.918 0.333
V -7.665 6.397 7.487